Entry from Alexandria via LeMat-Bulk: a geometry-optimized BaOsPt2 structure (PBE).

a = 9.0442 Å, b = 9.0442 Å, c = 9.0442 Å
α = 145.66°, β = 145.66°, γ = 49.36°
Atoms (fractional coordinates):
1 Ba 0.3750 0.6250 0.7500
2 Ba 0.6250 0.3750 0.2500
3 Os 0.1250 0.8750 0.2500
4 Os 0.8750 0.1250 0.7500
5 Pt 0.0000 0.0000 0.0000
6 Pt 0.0000 0.0000 0.5000
7 Pt 0.0000 0.5000 0.0000
8 Pt 0.5000 0.0000 0.5000

Summary:
Mass density = 10.17 g cm⁻³
Space group = I4_1/amd
D(E_F) = 3.77 states/eV/f.u.
Energy relative to the elements = 0.436 eV per formula unit
Total magnetic moment = 0.00 μB per cell
Energy above the lowest structure with this stoichiometry = 1.13 eV per formula unit
E = -6.200 eV/atom